Material: Ba2Ga4Rh3
Method: DFT, PBE
State: optimized geometry

abc: 5.924 5.924 7.244
angles: 101.79 101.79 120.02
Element x y z (fractional)
Ba: 0.366 0.366 0.733
Ba: 0.634 0.634 0.267
Ga: 0.033 0.682 0.715
Ga: 0.967 0.318 0.285
Ga: 0.318 0.967 0.285
Ga: 0.682 0.033 0.715
Rh: 0.000 0.000 0.000
Rh: 0.000 0.500 0.000
Rh: 0.500 0.000 0.000

Values from the calculation:
total magnetization	0.00	μB per formula unit
formation enthalpy at 0 K	-0.452	eV per atom
density of states at the Fermi level	5.12	states/eV/f.u.

=====

Material: PmHo14Zr
Method: DFT, PBE
State: optimized geometry

abc: 6.863 6.863 10.942
angles: 90.00 90.00 106.90
Element x y z (fractional)
Ho: 0.618 0.792 0.500
Ho: 0.040 0.368 0.000
Ho: 0.108 0.892 0.000
Ho: 0.421 0.167 0.258
Ho: 0.346 0.654 0.228
Ho: 0.346 0.654 0.772
Ho: 0.632 0.960 0.000
Ho: 0.900 0.100 0.728
Ho: 0.833 0.579 0.742
Ho: 0.208 0.382 0.500
Ho: 0.833 0.579 0.258
Ho: 0.561 0.439 0.000
Ho: 0.421 0.167 0.742
Ho: 0.900 0.100 0.272
Pm: 0.138 0.862 0.500
Zr: 0.696 0.304 0.500

Values from the calculation:
total magnetization	0.01	μB per formula unit
formation enthalpy at 0 K	0.068	eV per atom
density of states at the Fermi level	27.97	states/eV/f.u.

=====

- Which of these has the highest formation enthalpy at 0 K?
  PmHo14Zr

=====

- The highest density of states at the Fermi level belongs to which entry?
  PmHo14Zr

=====

- The highest density of states at the Fermi level belongs to which entry?
  PmHo14Zr

=====

- Among the records above, which one has the highest total magnetization?
  PmHo14Zr